Record 1
## Zr2CdRu (PBE-GGA)

Data for Zr2CdRu after structural relaxation.

Crystal system: tetragonal
Energy relative to the elements in kJ per mole of atoms: -15.8

Cell: 3.3218 3.3218 7.2251 Å, 90.00 90.00 90.00°
With the nearest neighbours (Å) after each atom.
Fractional positions:
Zr 0.0000 0.0000 0.0000  4 Ru 2.73
Zr 0.5000 0.5000 0.2780  8 Zr 3.09-3.32, 4 Cd 3.13, 1 Ru 3.40
Cd 0.0000 0.0000 0.5648  4 Ru 2.93, 5 Zr 3.13-3.14
Ru 0.5000 0.5000 0.8069  4 Zr 2.73, 4 Cd 2.93

***

Record 2
## In3TcH (PBE-GGA)

Data for In3TcH after structural relaxation.

Crystal system: cubic
Energy above the most stable polymorph in this dataset in eV/atom: 0.128

Cell: 5.2162 5.2162 5.2162 Å, 90.00 90.00 90.00°
With the nearest neighbours (Å) after each atom.
Fractional positions:
In 0.0000 0.0000 0.5000  2 Tc 2.61
In 0.0000 0.5000 0.0000  2 Tc 2.61
In 0.5000 0.0000 0.0000  2 Tc 2.61
Tc 0.0000 0.0000 0.0000  6 In 2.61
H 0.5000 0.5000 0.5000  12 In 3.69

***

Record 3
## Zn3TcH (PBE-GGA)

Data for Zn3TcH after structural relaxation.

Crystal system: cubic
Energy above the most stable polymorph in this dataset in eV/atom: 0.959

Cell: 4.9594 4.9594 4.9594 Å, 90.00 90.00 90.00°
With the nearest neighbours (Å) after each atom.
Fractional positions:
Zn 0.0000 0.0000 0.5000  2 Tc 2.48
Zn 0.0000 0.5000 0.0000  2 Tc 2.48
Zn 0.5000 0.0000 0.0000  2 Tc 2.48
Tc 0.0000 0.0000 0.0000  6 Zn 2.48
H 0.5000 0.5000 0.5000  12 Zn 3.51

***

Record 4
## Cs5La2O5 (PBE-GGA)

Data for Cs5La2O5 after structural relaxation.

Crystal system: monoclinic
Formation energy without anion corrections in kJ/mol of atoms: -181

Cell: 10.9534 10.9534 11.1508 Å, 96.35 96.35 22.39°
With the nearest neighbours (Å) after each atom.
Fractional positions:
Cs 0.0000 0.0000 0.0000  6 O 3.09-3.43
Cs 0.1108 0.1108 0.5304  3 O 2.91-3.18
Cs 0.1647 0.1647 0.1796  2 O 2.83
Cs 0.8353 0.8353 0.8204  2 O 2.83
Cs 0.8892 0.8892 0.4696  3 O 2.91-3.18
La 0.4926 0.4926 0.2886  4 O 2.19-2.35
La 0.5074 0.5074 0.7114  4 O 2.19-2.35
O 0.0496 0.0496 0.7505  2 La 2.33
O 0.4201 0.4201 0.7962  1 La 2.19
O 0.5000 0.5000 0.5000  2 La 2.35
O 0.5799 0.5799 0.2038  1 La 2.19
O 0.9504 0.9504 0.2495  2 La 2.33

***

Record 5
## ErMgZn10 (PBE-GGA)

Data for ErMgZn10 after structural relaxation.

Crystal system: orthorhombic
Energy relative to the elements in kJ per mole of atoms: -13.8

Cell: 4.2603 5.2035 9.1062 Å, 90.00 90.00 90.00°
With the nearest neighbours (Å) after each atom.
Fractional positions:
Er 0.0000 0.0000 0.0000  18 Zn 3.08-3.36
Mg 0.0000 0.5000 0.5000  6 Zn 2.91-2.97
Zn 0.0000 0.0000 0.3423  7 Zn 2.57-2.87
Zn 0.0000 0.0000 0.6577  7 Zn 2.57-2.87
Zn 0.0000 0.5000 0.1801  6 Zn 2.58-2.69
Zn 0.0000 0.5000 0.8199  6 Zn 2.58-2.69
Zn 0.5000 0.0000 0.5000  8 Zn 2.57-2.67
Zn 0.5000 0.2431 0.2414  8 Zn 2.53-2.67
Zn 0.5000 0.2431 0.7586  8 Zn 2.53-2.67
Zn 0.5000 0.5000 0.0000  8 Zn 2.57-2.69
Zn 0.5000 0.7569 0.2414  8 Zn 2.53-2.67
Zn 0.5000 0.7569 0.7586  8 Zn 2.53-2.67

***

Record 6
## NdDy2Re (PBE-GGA)

Data for NdDy2Re after structural relaxation.

Crystal system: trigonal
Energy relative to the elements in kJ per mole of atoms: 78.4

Cell: 11.5997 11.5997 11.5997 Å, 16.13 16.13 16.13°
With the nearest neighbours (Å) after each atom.
Fractional positions:
Nd 0.0000 0.0000 0.0000  6 Nd 3.26, 6 Dy 3.59
Dy 0.4223 0.4223 0.4223  1 Re 2.67
Dy 0.5777 0.5777 0.5777  1 Re 2.67
Re 0.5000 0.5000 0.5000  2 Dy 2.67

***

Record 7
## ReSi2Pt (PBE-GGA)

Data for ReSi2Pt after structural relaxation.

Crystal system: trigonal
Formation energy without anion corrections in kJ/mol of atoms: -4
Energy above the most stable polymorph in this dataset in eV/atom: 0.311

Cell: 7.9952 7.9952 7.9952 Å, 21.22 21.22 21.22°
With the nearest neighbours (Å) after each atom.
Fractional positions:
Re 0.0000 0.0000 0.0000  3 Si 2.48
Si 0.2562 0.2562 0.2562  3 Re 2.48, 3 Si 2.57
Si 0.5073 0.5073 0.5073  3 Pt 2.46, 3 Si 2.57
Pt 0.7649 0.7649 0.7649  3 Si 2.46

***

Record 8
## Li3BePd6 (PBE-GGA)

Data for Li3BePd6 after structural relaxation.

Crystal system: monoclinic
Energy relative to the elements in kJ per mole of atoms: -36.6
Energy above the most stable polymorph in this dataset in eV/atom: 0.000

Cell: 7.1693 4.3570 9.2229 Å, 90.00 109.20 90.00°
With the nearest neighbours (Å) after each atom.
Fractional positions:
Li 0.0235 0.2500 0.3753  9 Pd 2.50-2.77
Li 0.1070 0.7500 0.2138  8 Pd 2.47-2.75, 1 Li 2.76
Li 0.2822 0.2500 0.9747  10 Pd 2.66-2.76, 1 Li 2.76
Li 0.7178 0.7500 0.0253  10 Pd 2.66-2.76, 1 Li 2.76
Li 0.8930 0.2500 0.7862  8 Pd 2.47-2.75, 1 Li 2.76
Li 0.9765 0.7500 0.6247  9 Pd 2.50-2.77
Be 0.4609 0.2500 0.5856  8 Pd 2.34-2.59
Be 0.5391 0.7500 0.4144  8 Pd 2.34-2.59
Pd 0.0318 0.7500 0.9167  7 Li 2.53-2.76, 4 Pd 2.71-2.83
Pd 0.1792 0.2500 0.6608  1 Be 2.34, 3 Li 2.50-2.58
Pd 0.2613 0.7500 0.4975  3 Be 2.36-2.59, 1 Li 2.48
Pd 0.3488 0.2500 0.3170  3 Be 2.34-2.57, 1 Li 2.56
Pd 0.3536 0.7500 0.8250  4 Li 2.66-2.73, 8 Pd 2.71-2.87
Pd 0.4107 0.7500 0.1437  1 Be 2.36, 1 Li 2.47
Pd 0.5893 0.2500 0.8563  1 Be 2.36, 1 Li 2.47
Pd 0.6464 0.2500 0.1750  4 Li 2.66-2.73, 8 Pd 2.71-2.87
Pd 0.6512 0.7500 0.6830  3 Be 2.34-2.57, 1 Li 2.56
Pd 0.7387 0.2500 0.5025  3 Be 2.36-2.59, 1 Li 2.48
Pd 0.8208 0.7500 0.3392  1 Be 2.34, 3 Li 2.50-2.58
Pd 0.9682 0.2500 0.0833  7 Li 2.53-2.76, 4 Pd 2.71-2.83

***

Record 9
## Zr3AlTc (PBE-GGA)

Data for Zr3AlTc after structural relaxation.

Crystal system: cubic
Energy relative to the elements in kJ per mole of atoms: 105.4
Energy above the most stable polymorph in this dataset in eV/atom: 0.642

Cell: 4.9027 4.9027 4.9027 Å, 90.00 90.00 90.00°
With the nearest neighbours (Å) after each atom.
Fractional positions:
Zr 0.0000 0.0000 0.5000  2 Al 2.45
Zr 0.0000 0.5000 0.0000  2 Al 2.45
Zr 0.5000 0.0000 0.0000  2 Al 2.45
Al 0.0000 0.0000 0.0000  6 Zr 2.45
Tc 0.5000 0.5000 0.5000  12 Zr 3.47

***

Record 10
## RbHO3 (PBE-GGA)

Data for RbHO3 after structural relaxation.

Crystal system: trigonal
Energy in eV/atom: -3.7622

Cell: 5.3291 5.3291 5.3291 Å, 46.59 46.59 46.59°
With the nearest neighbours (Å) after each atom.
Fractional positions:
Rb 0.0000 0.0000 0.0000  9 O 2.90-2.95
H 0.5088 0.5088 0.5088  3 O 1.34
O 0.3394 0.3394 0.8866  1 H 1.34
O 0.3394 0.8866 0.3394  1 H 1.34
O 0.8866 0.3394 0.3394  1 H 1.34

***

Record 11
## Li2U2Se5 (PBE-GGA)

Data for Li2U2Se5 after structural relaxation.

Crystal system: orthorhombic
Formation energy without anion corrections in kJ/mol of atoms: -98
Energy above the most stable polymorph in this dataset in eV/atom: 0.028

Cell: 9.2928 9.2928 9.2928 Å, 66.32 132.75 136.29°
With the nearest neighbours (Å) after each atom.
Fractional positions:
Li 0.0000 0.0000 0.0000  6 Se 2.52-2.79
Li 0.0000 0.5000 0.5000  6 Se 2.52-2.79
Li 0.7678 0.6319 0.6359  4 Se 2.61-2.73
Li 0.9959 0.1319 0.3641  4 Se 2.61-2.73
U 0.3861 0.5255 0.0117  1 U 2.54, 2 Se 2.76-2.84
U 0.3861 0.8744 0.3606  1 U 2.54, 2 Se 2.76-2.84
U 0.5138 0.0255 0.6394  1 U 2.54, 2 Se 2.76-2.84
U 0.5138 0.3744 0.9883  1 U 2.54, 2 Se 2.76-2.84
Se 0.2032 0.7307 0.7720  2 Li 2.56-2.73, 2 U 2.76-2.84
Se 0.2032 0.9312 0.9725  2 Li 2.56-2.73, 2 U 2.76-2.84
Se 0.4553 0.2597 0.6955  2 Li 2.61-2.62, 2 U 2.88
Se 0.5250 0.2927 0.3284  2 Li 2.52-2.79
Se 0.5250 0.6966 0.7323  2 Li 2.52-2.79
Se 0.5642 0.7597 0.3045  2 Li 2.61-2.62, 2 U 2.88
Se 0.9587 0.2307 0.0275  2 Li 2.56-2.73, 2 U 2.76-2.84
Se 0.9587 0.4312 0.2280  2 Li 2.56-2.73, 2 U 2.76-2.84
Se 0.9643 0.1966 0.6716  2 Li 2.52-2.79
Se 0.9643 0.7927 0.2677  2 Li 2.52-2.79

***

Record 12
## Sr3CuPb (PBE-GGA)

Data for Sr3CuPb after structural relaxation.

Crystal system: cubic
Energy relative to the elements in kJ per mole of atoms: -9.3
Energy above the most stable polymorph in this dataset in eV/atom: 0.000

Cell: 5.8114 5.8114 5.8114 Å, 90.00 90.00 90.00°
With the nearest neighbours (Å) after each atom.
Fractional positions:
Sr 0.0000 0.0000 0.5000  2 Cu 2.91
Sr 0.0000 0.5000 0.0000  2 Cu 2.91
Sr 0.5000 0.0000 0.0000  2 Cu 2.91
Cu 0.0000 0.0000 0.0000  6 Sr 2.91
Pb 0.5000 0.5000 0.5000  12 Sr 4.11

***

Record 13
## Si2PbAu (PBE-GGA)

Data for Si2PbAu after structural relaxation.

Crystal system: orthorhombic
Formation energy without anion corrections in kJ/mol of atoms: 27

Cell: 3.2820 3.4198 7.2530 Å, 90.00 90.00 90.00°
With the nearest neighbours (Å) after each atom.
Fractional positions:
Si 0.0000 0.0000 0.0000  4 Si 2.59, 1 Au 2.65
Si 0.5000 0.5000 0.1450  4 Si 2.59, 4 Au 2.86
Pb 0.5000 0.5000 0.6500  4 Au 3.14, 4 Pb 3.28-3.42, 4 Si 3.47
Au 0.0000 0.0000 0.3654  5 Si 2.65-2.86

***

Record 14
## UPaZnRe (PBE-GGA)

Data for UPaZnRe after structural relaxation.

Crystal system: cubic
Energy relative to the elements in kJ per mole of atoms: 7.6

Cell: 4.7392 4.7392 4.7392 Å, 60.00 60.00 60.00°
With the nearest neighbours (Å) after each atom.
Fractional positions:
U 0.0000 0.0000 0.0000  4 Pa 2.90, 4 Zn 2.90
Pa 0.2500 0.2500 0.2500  4 Re 2.90, 4 U 2.90
Zn 0.7500 0.7500 0.7500  4 Re 2.90, 4 U 2.90
Re 0.5000 0.5000 0.5000  4 Zn 2.90, 4 Pa 2.90

***

Record 15
## PrDy12Tm7 (PBE-GGA)

Data for PrDy12Tm7 after structural relaxation.

Crystal system: cubic
Energy relative to the elements in kJ per mole of atoms: 69.0
Energy above the most stable polymorph in this dataset in eV/atom: 0.474

Cell: 9.7714 9.7714 9.7714 Å, 109.47 109.47 109.47°
With the nearest neighbours (Å) after each atom.
Fractional positions:
Pr 0.0000 0.0000 0.0000  12 Dy 4.14
Dy 0.0012 0.7413 0.2599  2 Tm 2.82
Dy 0.2587 0.2599 0.5186  2 Tm 2.82
Dy 0.2587 0.7401 0.9988  2 Tm 2.82
Dy 0.2599 0.0012 0.7413  2 Tm 2.82
Dy 0.2599 0.5186 0.2587  2 Tm 2.82
Dy 0.4814 0.7413 0.7401  2 Tm 2.82
Dy 0.5186 0.2587 0.2599  2 Tm 2.82
Dy 0.7401 0.4814 0.7413  2 Tm 2.82
Dy 0.7401 0.9988 0.2587  2 Tm 2.82
Dy 0.7413 0.2599 0.0012  2 Tm 2.82
Dy 0.7413 0.7401 0.4814  2 Tm 2.82
Dy 0.9988 0.2587 0.7401  2 Tm 2.82
Tm 0.0000 0.0000 0.5000  6 Dy 2.82
Tm 0.0000 0.5000 0.0000  6 Dy 2.82
Tm 0.0000 0.5000 0.5000  12 Dy 3.84-4.00
Tm 0.5000 0.0000 0.0000  6 Dy 2.82
Tm 0.5000 0.0000 0.5000  12 Dy 3.84-4.00
Tm 0.5000 0.5000 0.0000  12 Dy 3.84-4.00
Tm 0.5000 0.5000 0.5000  6 Dy 2.82

***

Record 16
## Nd4Ni (PBE-GGA)

Data for Nd4Ni after structural relaxation.

Crystal system: tetragonal
Energy relative to the elements in kJ per mole of atoms: -7.4
Energy above the most stable polymorph in this dataset in eV/atom: 0.000

Cell: 7.4150 7.4150 7.4150 Å, 108.39 108.39 111.66°
With the nearest neighbours (Å) after each atom.
Fractional positions:
Nd 0.0396 0.8191 0.1844  1 Ni 2.69
Nd 0.1153 0.4309 0.7204  1 Ni 2.69
Nd 0.1448 0.9604 0.7796  1 Ni 2.69
Nd 0.1809 0.3653 0.2204  1 Ni 2.69
Nd 0.5691 0.2896 0.6844  1 Ni 2.69
Nd 0.6052 0.8847 0.3156  1 Ni 2.69
Nd 0.6347 0.8552 0.8156  1 Ni 2.69
Nd 0.7104 0.3948 0.2796  1 Ni 2.69
Ni 0.2500 0.7500 0.5000  4 Nd 2.69
Ni 0.5000 0.5000 0.0000  4 Nd 2.69

***

Record 17
## NpCd2InO6 (PBE-GGA)

Data for NpCd2InO6 after structural relaxation.

Crystal system: monoclinic
Formation energy without anion corrections in kJ/mol of atoms: -174

Cell: 5.6856 5.7977 10.0408 Å, 90.00 124.06 90.00°
With the nearest neighbours (Å) after each atom.
Fractional positions:
Np 0.0000 0.0000 0.0000  6 O 2.12-2.23
Np 0.0000 0.5000 0.5000  6 O 2.12-2.23
Cd 0.2477 0.0416 0.7491  4 O 2.29-2.35
Cd 0.2477 0.4584 0.2491  4 O 2.29-2.35
Cd 0.7523 0.5416 0.7509  4 O 2.29-2.35
Cd 0.7523 0.9584 0.2509  4 O 2.29-2.35
In 0.5000 0.0000 0.5000  6 O 2.19-2.21
In 0.5000 0.5000 0.0000  6 O 2.19-2.21
O 0.1139 0.1904 0.4382  1 Np 2.12, 1 In 2.21, 1 Cd 2.29
O 0.1139 0.3096 0.9382  1 Np 2.12, 1 In 2.21, 1 Cd 2.29
O 0.2513 0.6820 0.4381  1 Np 2.13, 1 In 2.19, 1 Cd 2.29
O 0.2513 0.8180 0.9381  1 Np 2.13, 1 In 2.19, 1 Cd 2.29
O 0.3657 0.0698 0.2510  1 In 2.20, 1 Np 2.23, 2 Cd 2.29-2.35
O 0.3657 0.4302 0.7510  1 In 2.20, 1 Np 2.23, 2 Cd 2.29-2.35
O 0.6343 0.5698 0.2490  1 In 2.20, 1 Np 2.23, 2 Cd 2.29-2.35
O 0.6343 0.9302 0.7490  1 In 2.20, 1 Np 2.23, 2 Cd 2.29-2.35
O 0.7487 0.1820 0.0619  1 Np 2.13, 1 In 2.19, 1 Cd 2.29
O 0.7487 0.3180 0.5619  1 Np 2.13, 1 In 2.19, 1 Cd 2.29
O 0.8861 0.6904 0.0618  1 Np 2.12, 1 In 2.21, 1 Cd 2.29
O 0.8861 0.8096 0.5618  1 Np 2.12, 1 In 2.21, 1 Cd 2.29

***

Record 18
## NdSI (PBE-GGA)

Data for NdSI after structural relaxation.

Crystal system: tetragonal
Formation energy without anion corrections in kJ/mol of atoms: -143

Cell: 6.5574 6.5574 6.5574 Å, 146.21 146.21 48.53°
With the nearest neighbours (Å) after each atom.
Fractional positions:
Nd 0.0000 0.0000 0.0000  4 S 2.89
S 0.5874 0.5874 0.0000  4 Nd 2.89
I 0.3089 0.3089 0.0000  1 S 3.33, 5 Nd 3.53-3.69

***

Record 19
## Li2YGeF (PBE-GGA)

Data for Li2YGeF after structural relaxation.

Crystal system: tetragonal
Formation energy without anion corrections in kJ/mol of atoms: -140

Cell: 4.1532 4.1532 4.7840 Å, 90.00 90.00 90.00°
With the nearest neighbours (Å) after each atom.
Fractional positions:
Li 0.0000 0.5000 0.0000  2 F 2.08
Li 0.5000 0.0000 0.0000  2 F 2.08
Y 0.0000 0.0000 0.5000  2 F 2.39
Ge 0.5000 0.5000 0.5000  4 Y 2.94, 8 Li 3.17
F 0.0000 0.0000 0.0000  4 Li 2.08

***

Record 20
## Ba2NiRuC (PBE-GGA)

Data for Ba2NiRuC after structural relaxation.

Crystal system: tetragonal
Energy relative to the elements in kJ per mole of atoms: 134.0

Cell: 5.9153 5.9153 4.3795 Å, 90.00 90.00 90.00°
With the nearest neighbours (Å) after each atom.
Fractional positions:
Ba 0.0000 0.5000 0.0000  2 Ni 2.96
Ba 0.5000 0.0000 0.0000  2 Ni 2.96
Ni 0.0000 0.0000 0.0000  2 Ru 2.19
Ru 0.0000 0.0000 0.5000  2 Ni 2.19
C 0.5000 0.5000 0.5000  8 Ba 3.68